No. 1
Density functional theory data (PBE) for an optimized crystal structure of NdHo3Tm3.

Geometry as POSCAR:
```
NdHo3Tm3
1.0
-8.587 0.659 -1.519
-5.639 1.854 6.422
-4.119 7.705 0.370
Nd Ho Tm
2 6 6
direct
0.349 0.349 0.349
0.651 0.651 0.651
0.728 0.570 0.064
0.064 0.728 0.570
0.570 0.064 0.728
0.430 0.936 0.272
0.936 0.272 0.430
0.272 0.430 0.936
0.715 0.172 0.935
0.172 0.935 0.715
0.935 0.715 0.172
0.065 0.285 0.828
0.828 0.065 0.285
0.285 0.828 0.065
```

Output
Energy relative to the lowest polymorph listed for this composition   0.0000 eV per atom

***

No. 2
Density functional theory data (PBE) for an optimized crystal structure of Rb2TmAg2Se4.

Geometry as POSCAR:
```
Rb2TmAg2Se4
1.0
-3.133 -2.746 0.151
5.105 -5.972 -2.689
1.799 1.539 7.745
Rb Tm Ag Se
2 1 2 4
direct
0.131 0.565 0.261
0.869 0.435 0.739
0.000 0.000 0.000
0.680 0.981 0.360
0.320 0.019 0.640
0.193 0.189 0.386
0.807 0.811 0.614
0.511 0.770 0.022
0.489 0.230 0.978
```

Output
E_form (uncorrected)   -1.002 eV per atom

***

No. 3
Density functional theory data (PBE) for an optimized crystal structure of HPdBr2.

Geometry as POSCAR:
```
HPdBr2
1.0
4.249 1.984 0.643
0.362 4.134 2.277
1.907 0.158 4.329
H Br Pd
1 2 1
direct
0.000 0.000 0.000
0.250 0.250 0.250
0.750 0.750 0.750
0.500 0.500 0.500
```

Output
Energy relative to the lowest polymorph listed for this composition   0.8257 eV per atom

***

No. 4
Density functional theory data (PBE) for an optimized crystal structure of Tc2OsRu.

Geometry as POSCAR:
```
Tc2OsRu
1.0
2.726 0.000 0.000
0.000 2.726 0.000
0.000 0.000 7.728
Os Ru Tc
1 1 2
direct
0.500 0.500 0.250
0.500 0.500 0.750
0.000 0.000 0.000
0.000 0.000 0.500
```

Output
Energy relative to the lowest polymorph listed for this composition   0.1224 eV per atom

***

No. 5
Density functional theory data (PBE) for an optimized crystal structure of Tb3Pm3Tm.

Geometry as POSCAR:
```
Tb3Pm3Tm
1.0
-2.100 5.083 -1.686
-8.684 -2.482 3.332
6.261 4.499 5.765
Tb Pm Tm
6 6 2
direct
0.250 0.522 0.617
0.250 0.095 0.478
0.250 0.383 0.905
0.750 0.478 0.383
0.750 0.905 0.522
0.750 0.617 0.095
0.750 0.758 0.806
0.750 0.048 0.242
0.750 0.193 0.952
0.250 0.242 0.194
0.250 0.952 0.758
0.250 0.807 0.048
0.750 0.333 0.667
0.250 0.667 0.333
```

Output
Energy relative to the lowest polymorph listed for this composition   0.0000 eV per atom

***

No. 6
Density functional theory data (PBE) for an optimized crystal structure of CaAcPu.

Geometry as POSCAR:
```
CaAcPu
1.0
3.752 0.000 0.000
0.000 3.752 0.000
-1.876 -1.876 8.043
Ac Ca Pu
1 1 1
direct
0.324 0.324 0.649
0.008 0.008 0.016
0.668 0.668 0.335
```

Output
Energy relative to the lowest polymorph listed for this composition   0.0820 eV per atom